The following is a DFT calculation (PBE-GGA) of an optimized crystal structure of Pr2ZnSe.

Structure (CIF):
```
data_Pr2ZnSe
_chemical_formula_sum 'Pr6 Zn3 Se3'
_cell_length_a 4.0771
_cell_length_b 4.0771
_cell_length_c 23.8451
_cell_angle_alpha 90.00
_cell_angle_beta 90.00
_cell_angle_gamma 120.00
_symmetry_space_group_name_H-M 'R 3 m'
_symmetry_Int_Tables_number 160
_symmetry_space_group_name_Hall 'R 3 -2"'
loop_
_atom_site_label
_atom_site_type_symbol
_atom_site_fract_x
_atom_site_fract_y
_atom_site_fract_z
Pr1 Pr 0.0000 0.0000 0.0000
Pr2 Pr 0.0000 0.0000 0.1652
Zn1 Zn 0.0000 0.0000 0.5818
Se1 Se 0.0000 0.0000 0.7503
```

## Properties
Crystal system ... trigonal
Energy relative to the elements, uncorrected ... -0.92 eV per atom
Energy above the most stable polymorph in this dataset ... 134 meV per atom